Entry 1:
First-principles (PBE) data for an optimized crystal structure of Ho2AgTe3, as listed in the Alexandria database.

CIF file:
```
data_Ho2AgTe3
_space_group_name_H-M_alt 'P 1'
_space_group_IT_number 1
_cell_length_a 6.088
_cell_length_b 14.413
_cell_length_c 4.388
_cell_angle_alpha 90.00
_cell_angle_beta 90.00
_cell_angle_gamma 90.00
loop_
_space_group_symop_operation_xyz
'x,y,z'
loop_
_atom_site_label
_atom_site_fract_x
_atom_site_fract_y
_atom_site_fract_z
Ho1 0.000 0.145 0.000
Ho2 0.000 0.855 0.000
Ho3 0.500 0.355 0.000
Ho4 0.500 0.645 0.000
Ag1 0.000 0.500 0.500
Ag2 0.500 0.000 0.500
Te1 0.000 0.000 0.500
Te2 0.000 0.353 0.000
Te3 0.000 0.647 0.000
Te4 0.500 0.147 0.000
Te5 0.500 0.500 0.500
Te6 0.500 0.853 0.000
```

Calculated values
**Formation energy without anion corrections**: -77.8 kJ/mol of atoms
**Space group**: Cmmm (65)
**Magnetization**: 0.000 μB/atom
**E**: -4.3787 eV per atom

Entry 2:
First-principles (PBE) data for an optimized crystal structure of Ho8Ag2Te, as listed in the Alexandria database.

CIF file:
```
data_Ho8Ag2Te
_space_group_name_H-M_alt 'P 1'
_space_group_IT_number 1
_cell_length_a 8.067
_cell_length_b 8.067
_cell_length_c 5.663
_cell_angle_alpha 99.26
_cell_angle_beta 99.26
_cell_angle_gamma 115.90
loop_
_space_group_symop_operation_xyz
'x,y,z'
loop_
_atom_site_label
_atom_site_fract_x
_atom_site_fract_y
_atom_site_fract_z
Ho1 0.087 0.324 0.612
Ho2 0.238 0.762 0.000
Ho3 0.324 0.087 0.612
Ho4 0.398 0.398 0.199
Ho5 0.602 0.602 0.801
Ho6 0.676 0.913 0.388
Ho7 0.762 0.238 0.000
Ho8 0.913 0.676 0.388
Ag1 0.304 0.696 0.500
Ag2 0.696 0.304 0.500
Te1 0.000 0.000 0.000
```

Calculated values
**Formation energy without anion corrections**: -15.4 kJ/mol of atoms
**Space group**: C2/m (12)
**Magnetization**: 0.000 μB/atom
**E**: -4.2927 eV per atom

Entry 3:
First-principles (PBE) data for an optimized crystal structure of HoAg2Te3, as listed in the Alexandria database.

CIF file:
```
data_HoAg2Te3
_space_group_name_H-M_alt 'P 1'
_space_group_IT_number 1
_cell_length_a 7.126
_cell_length_b 4.243
_cell_length_c 12.721
_cell_angle_alpha 90.00
_cell_angle_beta 100.81
_cell_angle_gamma 90.00
loop_
_space_group_symop_operation_xyz
'x,y,z'
loop_
_atom_site_label
_atom_site_fract_x
_atom_site_fract_y
_atom_site_fract_z
Ho1 0.017 0.250 0.292
Ho2 0.983 0.750 0.708
Ag1 0.010 0.250 0.916
Ag2 0.146 0.250 0.554
Ag3 0.854 0.750 0.446
Ag4 0.990 0.750 0.084
Te1 0.257 0.250 0.122
Te2 0.269 0.750 0.434
Te3 0.286 0.250 0.777
Te4 0.714 0.750 0.223
Te5 0.731 0.250 0.566
Te6 0.743 0.750 0.878
```

Calculated values
**Formation energy without anion corrections**: -53.4 kJ/mol of atoms
**Space group**: P2_1/m (11)
**Magnetization**: 0.000 μB/atom
**E**: -3.8372 eV per atom

Entry 4:
First-principles (PBE) data for an optimized crystal structure of Ho4AgTe, as listed in the Alexandria database.

CIF file:
```
data_Ho4AgTe
_space_group_name_H-M_alt 'P 1'
_space_group_IT_number 1
_cell_length_a 5.872
_cell_length_b 8.356
_cell_length_c 7.838
_cell_angle_alpha 90.00
_cell_angle_beta 106.58
_cell_angle_gamma 90.00
loop_
_space_group_symop_operation_xyz
'x,y,z'
loop_
_atom_site_label
_atom_site_fract_x
_atom_site_fract_y
_atom_site_fract_z
Ho1 0.007 0.051 0.239
Ho2 0.007 0.449 0.239
Ho3 0.409 0.250 0.014
Ho4 0.425 0.750 0.511
Ho5 0.575 0.250 0.489
Ho6 0.591 0.750 0.986
Ho7 0.993 0.551 0.761
Ho8 0.993 0.949 0.761
Ag1 0.158 0.750 0.094
Ag2 0.842 0.250 0.906
Te1 0.118 0.250 0.585
Te2 0.882 0.750 0.415
```

Calculated values
**Formation energy without anion corrections**: -26.5 kJ/mol of atoms
**Space group**: P2_1/m (11)
**Magnetization**: 0.000 μB/atom
**E**: -4.3253 eV per atom